No. 1
A relaxed SrAc2Ag6 crystal, computed with PBE-GGA.

total magnetization: 0.0000 μB per atom
space group: P6/mmm, No. 191
formation energy: -294 meV per atom

a = 8.371 Å, b = 8.371 Å, c = 4.092 Å
α = 90.00°, β = 90.00°, γ = 120.00°
Fractional positions:
Sr1 0.000 0.000 0.000
Ac1 0.333 0.667 0.000
Ac2 0.667 0.333 0.000
Ag1 0.000 0.333 0.500
Ag2 0.000 0.667 0.500
Ag3 0.333 0.000 0.500
Ag4 0.333 0.333 0.500
Ag5 0.667 0.000 0.500
Ag6 0.667 0.667 0.500



No. 2
A relaxed KTlP2S crystal, computed with PBE-GGA.

total magnetization: 0.9958 μB per atom
space group: P4/mmm, No. 123
distance to the lowest polymorph of the same formula: 653 meV per atom
uncorrected formation energy: 1279 meV per atom

a = 5.978 Å, b = 5.978 Å, c = 5.701 Å
α = 90.00°, β = 90.00°, γ = 90.00°
Fractional positions:
K1 0.000 0.000 0.000
Tl1 0.500 0.500 0.500
P1 0.000 0.500 0.000
P2 0.500 0.000 0.000
S1 0.000 0.000 0.500



No. 3
A relaxed Sm2HgAs crystal, computed with PBE-GGA.

total magnetization: 0.0000 μB per atom
space group: R3m, No. 160
formation energy: -894 meV per atom
distance to the lowest polymorph of the same formula: 39 meV per atom

a = 8.153 Å, b = 8.153 Å, c = 8.153 Å
α = 29.21°, β = 29.21°, γ = 29.21°
Fractional positions:
Sm1 0.000 0.000 0.000
Sm2 0.190 0.190 0.190
Hg1 0.762 0.762 0.762
As1 0.594 0.594 0.594